{
  "formula": "CeTm2ScSe6",
  "functional": "PBE",
  "state": "relaxed",
  "crystal_system": "trigonal",
  "spacegroup": "R3",
  "formation_energy_uncorrected_ev_per_atom": -1.75,
  "total_energy_ev_per_atom": -5.965,
  "n_ef_per_ev_atom": 0.529,
  "cell": [[7.132, 0.000, 0.000], [3.566, 6.176, 0.000], [3.566, 2.059, 6.409]],
  "species": ["Ce", "Tm", "Tm", "Sc", "Se", "Se", "Se", "Se", "Se", "Se"],
  "fractional_positions": [[0.814, 0.814, 0.559], [0.516, 0.516, 0.451], [0.010, 0.010, 0.970], [0.322, 0.322, 0.034], [0.596, 0.229, 0.246], [0.229, 0.929, 0.246], [0.929, 0.596, 0.246], [0.394, 0.719, 0.755], [0.719, 0.132, 0.755], [0.132, 0.394, 0.755]]
}

---

{
  "formula": "YSi2As",
  "functional": "PBE",
  "state": "relaxed",
  "crystal_system": "monoclinic",
  "spacegroup": "Pm",
  "formation_energy_uncorrected_ev_per_atom": -0.37,
  "total_energy_ev_per_atom": -5.863,
  "n_ef_per_ev_atom": 0.476,
  "cell": [[-0.097, 3.770, -1.008], [-1.934, 0.850, 3.365], [4.012, 1.263, 4.332]],
  "species": ["As", "Si", "Si", "Y"],
  "fractional_positions": [[0.500, 0.848, 0.681], [0.000, 0.166, 0.037], [0.500, 0.057, 0.263], [0.000, 0.429, 0.520]]
}